AcErZn: optimized geometry, GGA-PBE.

## Properties
ΔE_f = -0.095 eV per formula unit
relative energy among the computed polymorphs = 120 meV/atom

Cell: 5.1707 5.1707 3.9694 Å, 90.00 90.00 120.00°
Space group P-6m2 (No. 187)
Symmetry-distinct sites (fractional):
Ac (0.0000, 0.0000, 0.0000)
Er (0.6667, 0.3333, 0.5000)
Zn (0.3333, 0.6667, 0.5000)